Material: Al2CuCl8
Method: DFT, PBE
State: optimized geometry

```
22
Lattice="7.965 0.000 3.516 3.441 8.940 2.986 0.377 0.098 9.927" Properties=species:S:1:pos:R:3 pbc="T T T"
Cl 8.945 8.572 7.132
Cl 3.680 6.612 12.441
Cl 3.150 2.157 2.410
Cl 7.492 4.054 11.037
Cl 5.971 6.676 9.269
Cl 2.350 2.093 6.241
Cl 7.524 0.563 10.965
Cl 9.433 6.945 10.187
Cl 8.681 4.887 7.728
Cl 2.839 0.466 9.296
Cl 8.633 6.881 14.018
Cl 3.102 4.151 8.700
Cl 5.813 2.362 7.159
Cl 8.104 2.426 3.987
Cl 4.259 8.475 5.463
Cl 4.291 4.984 5.391
Cu 1.371 2.309 8.292
Cu 10.412 6.730 8.136
Al 1.733 1.084 1.286
Al 4.027 3.435 6.870
Al 7.757 5.603 9.558
Al 10.051 7.954 15.142
```

## Properties
- ρ: 1.920 g/cm3
- E_form (uncorrected): -1220 meV/atom
- Uncorrected energy: -3.62 eV/atom

---

Material: Ce2MnRu3
Method: DFT, PBE
State: optimized geometry

```
6
Lattice="4.650 -0.031 2.126 1.353 4.449 2.126 -0.041 -0.031 5.113" Properties=species:S:1:pos:R:3 pbc="T T T"
Mn 0.000 0.000 0.000
Ru 0.677 2.224 1.063
Ru -0.021 -0.015 2.556
Ru 2.325 -0.015 1.063
Ce 2.215 1.630 3.479
Ce 3.747 2.758 5.885
```

## Properties
- ρ: 9.945 g/cm3
- Energy relative to the elements: -6.417 kcal/mol of atoms
- Uncorrected energy: -8.42 eV/atom
- Offset from the most stable computed form: 0.00 eV per formula unit